Entry 1:
Density functional theory data (PBE) for a relaxed Ce3Ga2CuAu6 crystal.

Computed properties:
Total magnetization   0.26 μB per atom
Total DFT energy (no corrections)   -4.335 eV/atom
Formation enthalpy at 0 K   -0.367 eV/atom

```
data_Ce3Ga2CuAu6
_chemical_formula_sum 'Ce3 Ga2 Cu1 Au6'
_cell_length_a 6.1631
_cell_length_b 6.1631
_cell_length_c 8.3301
_cell_angle_alpha 90.00
_cell_angle_beta 90.00
_cell_angle_gamma 120.00
_space_group_name_H-M_alt 'P -3 m 1'
_space_group_IT_number 164
_space_group_name_Hall '-P 3 2"'
loop_
_atom_site_label
_atom_site_fract_x
_atom_site_fract_y
_atom_site_fract_z
Ce1 0.0000 0.0000 0.0000
Ce2 0.3333 0.6667 0.6342
Ga1 0.3333 0.6667 0.0199
Cu1 0.0000 0.0000 0.5000
Au1 0.1769 0.3539 0.2841
```

Entry 2:
Density functional theory data (PBE) for a relaxed CeGa2CuAu crystal.

Computed properties:
Total magnetization   0.15 μB per atom
Total DFT energy (no corrections)   -4.321 eV/atom
Formation enthalpy at 0 K   -0.449 eV/atom

```
data_CeGa2CuAu
_chemical_formula_sum 'Ce2 Ga4 Cu2 Au2'
_cell_length_a 4.242
_cell_length_b 4.327
_cell_length_c 10.563
_cell_angle_alpha 90.00
_cell_angle_beta 90.00
_cell_angle_gamma 90.00
_space_group_name_H-M_alt 'I m m 2'
_space_group_IT_number 44
loop_
_space_group_symop_operation_xyz
'x,y,z'
'-x,-y,z'
'-x,y,z'
'x,-y,z'
'x+1/2,y+1/2,z+1/2'
'-x+1/2,-y+1/2,z+1/2'
'-x+1/2,y+1/2,z+1/2'
'x+1/2,-y+1/2,z+1/2'
loop_
_atom_site_label
_atom_site_fract_x
_atom_site_fract_y
_atom_site_fract_z
Ce1 0.000 0.000 0.000
Ga1 0.000 0.000 0.393
Ga2 0.000 0.500 0.243
Cu1 0.000 0.000 0.616
Au1 0.000 0.500 0.750
```

Entry 3:
Density functional theory data (PBE) for a relaxed CeGaCuAu crystal.

Computed properties:
Total magnetization   0.10 μB per atom
Total DFT energy (no corrections)   -4.477 eV/atom
Formation enthalpy at 0 K   -0.393 eV/atom

```
data_CeGaCuAu
_chemical_formula_sum 'Ce4 Ga4 Cu4 Au4'
_cell_length_a 6.802
_cell_length_b 6.802
_cell_length_c 6.802
_cell_angle_alpha 90.00
_cell_angle_beta 90.00
_cell_angle_gamma 90.00
_space_group_name_H-M_alt 'F -4 3 m'
_space_group_IT_number 216
_space_group_name_Hall 'F -4 2 3'
loop_
_atom_site_label
_atom_site_fract_x
_atom_site_fract_y
_atom_site_fract_z
Ce1 0.000 0.000 0.000
Ga1 0.000 0.000 0.500
Cu1 0.250 0.250 0.250
Au1 0.250 0.250 0.750
```

Entry 4:
Density functional theory data (PBE) for a relaxed CeGa2CuAu4 crystal.

Computed properties:
Total magnetization   0.09 μB per atom
Total DFT energy (no corrections)   -4.011 eV/atom
Formation enthalpy at 0 K   -0.362 eV/atom

```
data_CeGa2CuAu4
_chemical_formula_sum 'Ce3 Ga6 Cu3 Au12'
_cell_length_a 4.4985
_cell_length_b 4.4985
_cell_length_c 26.1253
_cell_angle_alpha 90.00
_cell_angle_beta 90.00
_cell_angle_gamma 120.00
_space_group_name_H-M_alt 'R -3 m'
_space_group_IT_number 166
_space_group_name_Hall '-R 3 2"'
loop_
_atom_site_label
_atom_site_fract_x
_atom_site_fract_y
_atom_site_fract_z
Ce1 0.0000 0.0000 0.0000
Ga1 0.0000 0.0000 0.2437
Cu1 0.0000 0.0000 0.5000
Au1 0.0000 0.0000 0.1349
Au2 0.0000 0.0000 0.3971
```

Entry 5:
Density functional theory data (PBE) for a relaxed Ce2CuGeAu6 crystal.

Computed properties:
Total magnetization   0.22 μB per atom
Total DFT energy (no corrections)   -4.352 eV/atom
Formation enthalpy at 0 K   -0.328 eV/atom

```
data_Ce2CuGeAu6
_chemical_formula_sum 'Ce2 Cu1 Ge1 Au6'
_cell_length_a 5.458
_cell_length_b 6.849
_cell_length_c 6.999
_cell_angle_alpha 81.09
_cell_angle_beta 67.13
_cell_angle_gamma 66.58
_space_group_name_H-M_alt 'P -1'
_space_group_IT_number 2
loop_
_space_group_symop_operation_xyz
'x,y,z'
'-x,-y,-z'
loop_
_atom_site_label
_atom_site_fract_x
_atom_site_fract_y
_atom_site_fract_z
Ce1 0.250 0.231 0.268
Cu1 0.500 0.500 0.500
Ge1 0.000 0.000 0.000
Au1 0.215 0.778 0.290
Au2 0.257 0.586 0.902
Au3 0.283 0.221 0.711
```

Entry 6:
Density functional theory data (PBE) for a relaxed CeHoCuAu crystal.

Computed properties:
Total magnetization   0.18 μB per atom
Total DFT energy (no corrections)   -4.883 eV/atom
Formation enthalpy at 0 K   -0.412 eV/atom

```
data_CeHoCuAu
_chemical_formula_sum 'Ce4 Ho4 Cu4 Au4'
_cell_length_a 7.168
_cell_length_b 7.168
_cell_length_c 7.168
_cell_angle_alpha 90.00
_cell_angle_beta 90.00
_cell_angle_gamma 90.00
_space_group_name_H-M_alt 'F -4 3 m'
_space_group_IT_number 216
_space_group_name_Hall 'F -4 2 3'
loop_
_atom_site_label
_atom_site_fract_x
_atom_site_fract_y
_atom_site_fract_z
Ce1 0.000 0.000 0.000
Ho1 0.000 0.000 0.500
Cu1 0.250 0.250 0.250
Au1 0.250 0.250 0.750
```